# 1
Nd8PdSe4S3 | PBE-GGA | relaxed

Summary:
formation energy from raw total energies: -28.39 eV/f.u.
final energy: -294.13 eV/cell

a b c (Å): 8.3161 8.3161 20.6427
angles (deg): 90.00 90.00 120.00
Space group R-3m (No. 166, hexagonal axes)
Symmetry-distinct sites (fractional):
Nd (0.0000, 0.0000, 0.2433) [6 per cell]
Nd (0.0040, 0.5020, 0.7543) [18 per cell]
Pd (0.0000, 0.0000, 0.5000) [3 per cell]
Se (0.0000, 0.0000, 0.0000) [3 per cell]
Se (0.0000, 0.5000, 0.0000) [9 per cell]
S (0.0000, 0.5000, 0.5000) [9 per cell]

---

# 2
Nd8Te4PdS3 | PBE-GGA | relaxed

Summary:
formation energy from raw total energies: -25.02 eV/f.u.
final energy: -279.92 eV/cell

a b c (Å): 8.5199 8.5199 21.6538
angles (deg): 90.00 90.00 120.00
Space group R-3m (No. 166, hexagonal axes)
Symmetry-distinct sites (fractional):
Nd (0.0000, 0.0000, 0.2359) [6 per cell]
Nd (0.0039, 0.5019, 0.7610) [18 per cell]
Te (0.0000, 0.0000, 0.0000) [3 per cell]
Te (0.0000, 0.5000, 0.0000) [9 per cell]
Pd (0.0000, 0.0000, 0.5000) [3 per cell]
S (0.0000, 0.5000, 0.5000) [9 per cell]

---

# 3
NdU3Pd4S12 | PBE-GGA | relaxed

Summary:
formation energy from raw total energies: -15.80 eV/f.u.
final energy: -374.19 eV/cell

a b c (Å): 13.3279 13.3279 9.7042
angles (deg): 90.00 90.00 120.00
Space group R32 (No. 155, hexagonal axes)
Symmetry-distinct sites (fractional):
Nd (0.0000, 0.0000, 0.0000) [3 per cell]
U (0.0000, 0.5647, 0.0000) [9 per cell]
Pd (0.0000, 0.0000, 0.5000) [3 per cell]
Pd (0.0000, 0.4095, 0.5000) [9 per cell]
S (0.0000, 0.5885, 0.5000) [9 per cell]
S (0.0000, 0.8320, 0.5000) [9 per cell]
S (0.0580, 0.1963, 0.1796) [18 per cell]

---

# 4
Nd2UPdS5 | PBE-GGA | relaxed

Summary:
formation energy from raw total energies: -13.92 eV/f.u.
final energy: -242.31 eV/cell

a b c (Å): 3.9203 16.3800 12.1754
angles (deg): 90.00 90.00 90.00
Space group Cmc2_1 (No. 36)
Symmetry-distinct sites (fractional):
Nd (0.0000, 0.1080, 0.0000) [4 per cell]
Nd (0.0000, 0.1165, 0.3440) [4 per cell]
U (0.0000, 0.1799, 0.6729) [4 per cell]
Pd (0.0000, 0.4453, 0.0657) [4 per cell]
S (0.0000, 0.0179, 0.6714) [4 per cell]
S (0.0000, 0.3015, 0.0145) [4 per cell]
S (0.0000, 0.3017, 0.3296) [4 per cell]
S (0.0000, 0.3451, 0.6702) [4 per cell]
S (0.0000, 0.4933, 0.3885) [4 per cell]

---

# 5
NdSb2Pd7 | PBE-GGA | relaxed

Summary:
formation energy from raw total energies: -2.99 eV/f.u.
final energy: -104.71 eV/cell

a b c (Å): 7.4914 12.9835 4.6501
angles (deg): 90.00 90.00 90.00
Space group Cmmm (No. 65)
Symmetry-distinct sites (fractional):
Nd (0.0000, 0.0000, 0.0000) [2 per cell]
Sb (0.0000, 0.3019, 0.5000) [4 per cell]
Pd (0.0000, 0.2162, 0.0000) [4 per cell]
Pd (0.0000, 0.5000, 0.5000) [2 per cell]
Pd (0.1812, 0.1134, 0.5000) [8 per cell]

---

# 6
Nd2Sb4Pd5 | PBE-GGA | relaxed

Summary:
formation energy from raw total energies: -6.80 eV/f.u.
final energy: -235.14 eV/cell

a b c (Å): 6.0106 10.2845 16.1570
angles (deg): 90.00 90.00 90.00
Space group Fmmm (No. 69)
Symmetry-distinct sites (fractional):
Nd (0.0000, 0.0000, 0.1425) [8 per cell]
Sb (0.0000, 0.1538, 0.3703) [16 per cell]
Pd (0.0000, 0.0000, 0.5000) [4 per cell]
Pd (0.2500, 0.2500, 0.0000) [8 per cell]
Pd (0.2500, 0.2500, 0.2500) [8 per cell]

---

# 7
Nd3Sb4Pd2 | PBE-GGA | relaxed

Summary:
formation energy from raw total energies: -8.20 eV/f.u.
final energy: -98.75 eV/cell

a b c (Å): 11.7157 4.6551 9.2201
angles (deg): 90.00 110.25 90.00
Space group C2/m (No. 12)
Symmetry-distinct sites (fractional):
Nd (0.0000, 0.0000, 0.0000) [2 per cell]
Nd (0.1351, 0.5000, 0.7058) [4 per cell]
Sb (0.0767, 0.0000, 0.3941) [4 per cell]
Sb (0.1967, 0.5000, 0.1025) [4 per cell]
Pd (0.1870, 0.5000, 0.3968) [4 per cell]

---

# 8
Nd2SbPd3 | PBE-GGA | relaxed

Summary:
formation energy from raw total energies: -5.13 eV/f.u.
final energy: -68.74 eV/cell

a b c (Å): 4.5794 4.5794 15.4856
angles (deg): 90.00 90.00 120.00
Space group P6_3/mmc (No. 194)
Symmetry-distinct sites (fractional):
Nd (0.0000, 0.0000, 0.1185) [4 per cell]
Sb (0.3333, 0.6667, 0.2500) [2 per cell]
Pd (0.3333, 0.6667, 0.0007) [4 per cell]
Pd (0.3333, 0.6667, 0.7500) [2 per cell]

---

# 9
Nd8Sb2Pd3 | PBE-GGA | relaxed

Summary:
formation energy from raw total energies: -6.72 eV/f.u.
final energy: -137.37 eV/cell

a b c (Å): 16.1880 8.2552 7.1411
angles (deg): 90.00 106.01 90.00
Space group C2/m (No. 12)
Symmetry-distinct sites (fractional):
Nd (0.0939, 0.0000, 0.3687) [4 per cell]
Nd (0.1029, 0.5000, 0.4057) [4 per cell]
Nd (0.1095, 0.2486, 0.9036) [8 per cell]
Sb (0.2487, 0.0000, 0.1683) [4 per cell]
Pd (0.0000, 0.2466, 0.5000) [4 per cell]
Pd (0.0000, 0.5000, 0.0000) [2 per cell]

---

# 10
Nd4SbPd2 | PBE-GGA | relaxed

Summary:
formation energy from raw total energies: -4.93 eV/f.u.
final energy: -308.10 eV/cell

a b c (Å): 13.3500 13.4070 8.9432
angles (deg): 90.00 90.00 90.00
Space group Fdd2 (No. 43)
Symmetry-distinct sites (fractional):
Nd (0.0558, 0.1222, 0.0000) [16 per cell]
Nd (0.1206, 0.4414, 0.8552) [16 per cell]
Sb (0.0000, 0.0000, 0.6776) [8 per cell]
Pd (0.0699, 0.1815, 0.3024) [16 per cell]

---

# 11
NdSb3Pd | PBE-GGA | relaxed

Summary:
formation energy from raw total energies: -3.32 eV/f.u.
final energy: -102.60 eV/cell

a b c (Å): 12.9874 6.2930 6.2268
angles (deg): 90.00 90.00 90.00
Space group Pbcm (No. 57)
Symmetry-distinct sites (fractional):
Nd (0.1910, 0.0021, 0.2500) [4 per cell]
Sb (0.0023, 0.2500, 0.0000) [4 per cell]
Sb (0.2699, 0.5111, 0.2500) [4 per cell]
Sb (0.4393, 0.6174, 0.7500) [4 per cell]
Pd (0.4001, 0.2500, 0.0000) [4 per cell]

---

# 12
Nd8Sb2Pd | PBE-GGA | relaxed

Summary:
formation energy from raw total energies: -5.61 eV/f.u.
final energy: -114.38 eV/cell

a b c (Å): 19.2841 4.8159 7.5806
angles (deg): 90.00 99.71 90.00
Space group C2/m (No. 12)
Symmetry-distinct sites (fractional):
Nd (0.0095, 0.0000, 0.2753) [4 per cell]
Nd (0.0947, 0.5000, 0.0031) [4 per cell]
Nd (0.1524, 0.5000, 0.5215) [4 per cell]
Nd (0.2137, 0.0000, 0.8461) [4 per cell]
Sb (0.1831, 0.0000, 0.2629) [4 per cell]
Pd (0.0000, 0.5000, 0.5000) [2 per cell]